Density functional theory data (GGA+U) for a relaxed structure of K3TaV2O8.

Lattice parameters (Å, degrees): 5.8055 5.8055 7.5950 90.00 90.00 120.00
Space group P-3m1 (No. 164)
One atom of each set of equivalent atoms:
K (0.0000, 0.0000, 0.0000)
K (0.3333, 0.6667, 0.6872)
Ta (0.0000, 0.0000, 0.5000)
V (0.3333, 0.6667, 0.2515)
O (0.1632, 0.3263, 0.3468)
O (0.3333, 0.6667, 0.0284)

Total DFT energy (no corrections) (eV per atom): -7.123